(1)
VASP calculation (PBE) on crystalline YLuSe3 at its relaxed geometry.

E_form (uncorrected), eV per atom: -1.8492

a b c (Å): 6.9608 6.9727 7.3007
angles (deg): 99.42 98.97 119.65
Closest atoms and distances in Å follow each position.
Space group P1 (No. 1)
One atom of each set of equivalent atoms:
Y1 0.0000 0.0000 0.0000 x1  6 Se 2.84-2.95
Y2 0.1658 0.4993 0.5054 x1  6 Se 2.86-2.95
Lu1 0.3481 0.6823 0.0409 x1  6 Se 2.78-2.85
Lu2 0.6686 0.3363 0.0054 x1  6 Se 2.79-2.90
Se1 0.0701 0.7375 0.2519 x1  2 Lu 2.78-2.81, 2 Y 2.89-2.95
Se2 0.2713 0.9159 0.7860 x1  2 Lu 2.80-2.82, 2 Y 2.84-2.94
Se3 0.4090 0.4099 0.2521 x1  2 Lu 2.78-2.90, 2 Y 2.87-2.88
Se4 0.5744 0.5880 0.7861 x1  2 Lu 2.79-2.81, 2 Y 2.85-2.95
Se5 0.7591 0.0989 0.2473 x1  2 Lu 2.81, 2 Y 2.86-2.87
Se6 0.9428 0.2832 0.7829 x1  2 Lu 2.81-2.85, 2 Y 2.86-2.91



(2)
VASP calculation (PBE) on crystalline ScCrPd3 at its relaxed geometry.

Formation energy, eV/atom: 0.393

a b c (Å): 4.5864 4.5864 4.5864
angles (deg): 90.00 90.00 90.00
Closest atoms and distances in Å follow each position.
Space group Pm-3m (No. 221)
One atom of each set of equivalent atoms:
Sc1 0.0000 0.0000 0.0000 x1  12 Pd 3.24
Cr1 0.5000 0.5000 0.5000 x1  6 Pd 2.29
Pd1 0.0000 0.5000 0.5000 x3  2 Cr 2.29



(3)
VASP calculation (PBE) on crystalline Sm2GaSi at its relaxed geometry.

E_form (uncorrected), eV per atom: -0.4076

a b c (Å): 3.9498 3.9498 23.8353
angles (deg): 90.00 90.00 120.00
Closest atoms and distances in Å follow each position.
Space group R-3m (No. 166, hexagonal axes)
One atom of each set of equivalent atoms:
Sm1 0.0000 0.0000 0.2438 x6  3 Si 2.93, 3 Ga 3.12
Ga1 0.0000 0.0000 0.0000 x3  6 Sm 3.12
Si1 0.0000 0.0000 0.5000 x3  6 Sm 2.93



(4)
VASP calculation (PBE) on crystalline Bi2Te2I at its relaxed geometry.

E_form (uncorrected), eV per atom: -0.0148

a b c (Å): 5.6063 5.6063 12.6299
angles (deg): 90.00 90.00 90.00
Closest atoms and distances in Å follow each position.
Space group I4/mmm (No. 139)
One atom of each set of equivalent atoms:
Bi1 0.0000 0.5000 0.2500 x4  4 Te 3.10
Te1 0.0000 0.0000 0.1447 x4  4 Bi 3.10
I1 0.0000 0.0000 0.5000 x2  8 Bi 4.22, 10 Te 4.37-4.49



Calculated raw total energy in order - -6.137 -5.914 -4.880 -3.134 eV/atom